(1)
Density functional theory data (PBE) for TaPdF2 after structural relaxation.

Cell lengths 5.899, 5.899, 5.899 Å; angles 90.00, 90.00, 90.00 degrees
Space group Fm-3m (No. 225)
Inequivalent atoms, fractional coordinates:
1 Ta 0.000 0.000 0.000 x4
2 Pd 0.000 0.000 0.500 x4
3 F 0.250 0.250 0.250 x8

Results
Raw formation energy in eV per atom: -0.48

=====

(2)
Density functional theory data (PBE) for SrCaInBi2 after structural relaxation.

Cell lengths 6.126, 6.126, 6.332 Å; angles 90.00, 90.00, 90.00 degrees
Space group P4/mmm (No. 123)
Inequivalent atoms, fractional coordinates:
1 Sr 0.000 0.000 0.000 x1
2 Ca 0.000 0.000 0.500 x1
3 In 0.500 0.500 0.500 x1
4 Bi 0.000 0.500 0.000 x2

Results
DFT total energy in hartree per atom: -0.0870

=====

(3)
Density functional theory data (PBE) for ErBe17Pd after structural relaxation.

Cell lengths 7.5257, 7.5257, 10.9032 Å; angles 90.00, 90.00, 120.00 degrees
Space group R3m (No. 160, hexagonal axes)
Inequivalent atoms, fractional coordinates:
1 Er 0.0000 0.0000 0.0000 x3
2 Be 0.0000 0.0000 0.5563 x3
3 Be 0.0000 0.0000 0.7511 x3
4 Be 0.0452 0.3723 0.3223 x18
5 Be 0.1700 0.3401 0.8336 x9
6 Be 0.1735 0.3469 0.4933 x9
7 Be 0.1754 0.3508 0.1398 x9
8 Pd 0.0000 0.0000 0.3267 x3

Results
DFT total energy in hartree per atom: -0.1455

=====

(4)
Density functional theory data (PBE) for Pm3Ho4Ir4 after structural relaxation.

Cell lengths 3.947, 8.640, 15.915 Å; angles 90.00, 90.00, 90.00 degrees
Space group Immm (No. 71)
Inequivalent atoms, fractional coordinates:
1 Pm 0.000 0.000 0.000 x2
2 Pm 0.000 0.500 0.101 x4
3 Ho 0.000 0.309 0.332 x8
4 Ir 0.000 0.000 0.243 x4
5 Ir 0.000 0.216 0.500 x4

Results
DFT total energy in hartree per atom: -0.2510

=====

(5)
Density functional theory data (PBE) for Ca2Ga4Ir3Au after structural relaxation.

Cell lengths 4.209, 4.209, 10.720 Å; angles 90.00, 90.00, 90.00 degrees
Space group P-4m2 (No. 115)
Inequivalent atoms, fractional coordinates:
1 Ca 0.000 0.500 0.245 x2
2 Ga 0.000 0.000 0.000 x1
3 Ga 0.000 0.500 0.638 x2
4 Ga 0.500 0.500 0.000 x1
5 Ir 0.000 0.500 0.868 x2
6 Ir 0.500 0.500 0.500 x1
7 Au 0.000 0.000 0.500 x1

Results
DFT total energy in hartree per atom: -0.1896

=====

(6)
Density functional theory data (PBE) for ScBi2Se2 after structural relaxation.

Cell lengths 7.066, 7.066, 5.830 Å; angles 90.00, 90.00, 90.00 degrees
Space group P4/mbm (No. 127)
Inequivalent atoms, fractional coordinates:
1 Sc 0.000 0.000 0.000 x2
2 Bi 0.221 0.279 0.500 x4
3 Se 0.170 0.330 0.000 x4

Results
Raw formation energy in eV per atom: -0.56

=====

(7)
Density functional theory data (PBE) for Nd3AlNi3 after structural relaxation.

Cell lengths 4.096, 10.485, 13.586 Å; angles 90.00, 90.00, 90.00 degrees
Space group Cmcm (No. 63)
Inequivalent atoms, fractional coordinates:
1 Nd 0.000 0.000 0.250 x4
2 Nd 0.000 0.281 0.105 x8
3 Al 0.000 0.000 0.000 x4
4 Ni 0.000 0.304 0.750 x4
5 Ni 0.000 0.430 0.588 x8

Results
DFT total energy in hartree per atom: -0.2009

=====

(8)
Density functional theory data (PBE) for Ca2ReGe2 after structural relaxation.

Cell lengths 6.798, 6.798, 4.603 Å; angles 90.00, 90.00, 90.00 degrees
Space group P4/mbm (No. 127)
Inequivalent atoms, fractional coordinates:
1 Ca 0.175 0.325 0.000 x4
2 Re 0.000 0.000 0.500 x2
3 Ge 0.142 0.642 0.500 x4

Results
DFT total energy in hartree per atom: -0.1948

=====

(9)
Density functional theory data (PBE) for Ba2YMn after structural relaxation.

Cell lengths 3.953, 6.249, 12.697 Å; angles 90.00, 90.00, 90.00 degrees
Space group Imm2 (No. 44)
Inequivalent atoms, fractional coordinates:
1 Ba 0.000 0.000 0.000 x2
2 Ba 0.000 0.500 0.201 x2
3 Y 0.000 0.000 0.401 x2
4 Mn 0.000 0.500 0.725 x2

Results
DFT total energy in hartree per atom: -0.1638

=====

(10)
Density functional theory data (PBE) for ScBe3 after structural relaxation.

Cell lengths 2.5650, 2.5650, 25.2021 Å; angles 90.00, 90.00, 120.00 degrees
Space group R-3m (No. 166, hexagonal axes)
Inequivalent atoms, fractional coordinates:
1 Sc 0.0000 0.0000 0.0000 x3
2 Be 0.0000 0.0000 0.2373 x6
3 Be 0.0000 0.0000 0.5000 x3

Results
DFT total energy in hartree per atom: -0.1411

=====

(11)
Density functional theory data (PBE) for SbAs2Pt after structural relaxation.

Cell lengths 5.150, 5.150, 5.934 Å; angles 90.00, 90.00, 90.00 degrees
Space group I-4m2 (No. 119)
Inequivalent atoms, fractional coordinates:
1 Sb 0.000 0.000 0.000 x2
2 As 0.000 0.000 0.500 x2
3 As 0.000 0.500 0.750 x2
4 Pt 0.000 0.500 0.250 x2

Results
Raw formation energy in eV per atom: 0.21

=====

(12)
Density functional theory data (PBE) for DyInHg after structural relaxation.

Cell lengths 4.8889, 4.8889, 3.6140 Å; angles 90.00, 90.00, 120.00 degrees
Space group P3m1 (No. 156)
Inequivalent atoms, fractional coordinates:
1 Dy 0.0000 0.0000 0.0000 x1
2 In 0.3333 0.6667 0.4799 x1
3 Hg 0.6667 0.3333 0.5345 x1

Results
DFT total energy in hartree per atom: -0.1087

=====

D(E_F) values (in states/eV per atom) by entry order: 0.591, 0.684, 0.195, 0.609, 0.523, 0.402, 0.795, 0.942, 1.138, 0.545, 0.598, 0.602.